Entry 1:
Compound: La2Dy5YSc
Source: Alexandria
Functional: PBE-GGA
Structure: relaxed

Structure (CIF):
```
data_La2Dy5YSc
_space_group_name_H-M_alt 'C m c 21'
_space_group_IT_number 36
_space_group_name_Hall 'C 2c -2'
_cell_length_a 5.438
_cell_length_b 21.798
_cell_length_c 9.959
_cell_angle_alpha 90.00
_cell_angle_beta 90.00
_cell_angle_gamma 90.00
loop_
_atom_site_label
_atom_site_type_symbol
_atom_site_fract_x
_atom_site_fract_y
_atom_site_fract_z
La1 La 0.000 0.117 0.000
La2 La 0.000 0.117 0.478
Dy1 Dy 0.000 0.000 0.239
Dy2 Dy 0.000 0.277 0.052
Dy3 Dy 0.000 0.277 0.425
Dy4 Dy 0.000 0.374 0.739
Dy5 Dy 0.000 0.500 0.489
Y1 Y 0.000 0.398 0.239
Sc1 Sc 0.000 0.216 0.739
```

Results
Energy ... -0.182 hartree per atom
DOS(E_F) ... 61.24 states/eV per cell
Calculated formation energy ... 0.1327 eV per atom

Entry 2:
Compound: ZrPdPt3
Source: Alexandria
Functional: PBE-GGA
Structure: relaxed

Structure (CIF):
```
data_ZrPdPt3
_space_group_name_H-M_alt 'P m -3 m'
_space_group_IT_number 221
_space_group_name_Hall '-P 4 2 3'
_cell_length_a 4.906
_cell_length_b 4.906
_cell_length_c 4.906
_cell_angle_alpha 90.00
_cell_angle_beta 90.00
_cell_angle_gamma 90.00
loop_
_atom_site_label
_atom_site_type_symbol
_atom_site_fract_x
_atom_site_fract_y
_atom_site_fract_z
Zr1 Zr 0.000 0.000 0.000
Pd1 Pd 0.500 0.500 0.500
Pt1 Pt 0.000 0.000 0.500
```

Results
Energy ... -0.202 hartree per atom
Excess energy over the best structure of this formula in the dataset ... 1621.6 meV per atom
DOS(E_F) ... 1.82 states/eV per cell
Calculated formation energy ... 0.8853 eV per atom

Entry 3:
Compound: Nd5Ho3Tm2
Source: Alexandria
Functional: PBE-GGA
Structure: relaxed

Structure (CIF):
```
data_Nd5Ho3Tm2
_space_group_name_H-M_alt 'C 1 2/c 1'
_space_group_IT_number 15
_space_group_name_Hall '-C 2yc'
_cell_length_a 10.685
_cell_length_b 14.892
_cell_length_c 9.996
_cell_angle_alpha 90.00
_cell_angle_beta 122.28
_cell_angle_gamma 90.00
loop_
_atom_site_label
_atom_site_type_symbol
_atom_site_fract_x
_atom_site_fract_y
_atom_site_fract_z
Nd1 Nd 0.000 0.019 0.250
Nd2 Nd 0.000 0.228 0.250
Nd3 Nd 0.000 0.478 0.750
Nd4 Nd 0.247 0.369 0.240
Ho1 Ho 0.000 0.273 0.750
Ho2 Ho 0.155 0.375 0.557
Tm1 Tm 0.152 0.129 0.057
```

Results
Energy ... -0.164 hartree per atom
DOS(E_F) ... 67.71 states/eV per cell
Calculated formation energy ... 0.1784 eV per atom

Entry 4:
Compound: CuNiSe4
Source: Alexandria
Functional: PBE-GGA
Structure: relaxed

Structure (CIF):
```
data_CuNiSe4
_space_group_name_H-M_alt 'C 1 2/m 1'
_space_group_IT_number 12
_space_group_name_Hall '-C 2y'
_cell_length_a 11.441
_cell_length_b 3.626
_cell_length_c 6.455
_cell_angle_alpha 90.00
_cell_angle_beta 122.69
_cell_angle_gamma 90.00
loop_
_atom_site_label
_atom_site_type_symbol
_atom_site_fract_x
_atom_site_fract_y
_atom_site_fract_z
Cu1 Cu 0.000 0.000 0.000
Ni1 Ni 0.000 0.500 0.500
Se1 Se 0.120 0.000 0.440
Se2 Se 0.144 0.500 0.941
```

Results
Energy ... -0.151 hartree per atom
Energy relative to the elements, uncorrected ... -0.1394 eV per atom
DOS(E_F) ... 5.18 states/eV per cell

Entry 5:
Compound: PmPr2NdPt2
Source: Alexandria
Functional: PBE-GGA
Structure: relaxed

Structure (CIF):
```
data_PmPr2NdPt2
_space_group_name_H-M_alt 'C 1 2/m 1'
_space_group_IT_number 12
_space_group_name_Hall '-C 2y'
_cell_length_a 15.987
_cell_length_b 7.002
_cell_length_c 7.016
_cell_angle_alpha 90.00
_cell_angle_beta 115.96
_cell_angle_gamma 90.00
loop_
_atom_site_label
_atom_site_type_symbol
_atom_site_fract_x
_atom_site_fract_y
_atom_site_fract_z
Pm1 Pm 0.000 0.250 0.000
Pr1 Pr 0.193 0.000 0.402
Pr2 Pr 0.193 0.500 0.984
Nd1 Nd 0.000 0.250 0.500
Pt1 Pt 0.111 0.000 0.874
Pt2 Pt 0.111 0.500 0.348
```

Results
Energy ... -0.218 hartree per atom
DOS(E_F) ... 25.45 states/eV per cell
Calculated formation energy ... -0.7296 eV per atom

Entry 6:
Compound: ZnGa3Ag3
Source: Alexandria
Functional: PBE-GGA
Structure: relaxed

Structure (CIF):
```
data_ZnGa3Ag3
_space_group_name_H-M_alt 'P 63/m'
_space_group_IT_number 176
_space_group_name_Hall '-P 6c'
_cell_length_a 7.6220
_cell_length_b 7.6220
_cell_length_c 4.8752
_cell_angle_alpha 90.00
_cell_angle_beta 90.00
_cell_angle_gamma 120.00
loop_
_atom_site_label
_atom_site_type_symbol
_atom_site_fract_x
_atom_site_fract_y
_atom_site_fract_z
Zn1 Zn 0.3333 0.6667 0.2500
Ga1 Ga 0.0535 0.2465 0.2500
Ag1 Ag 0.0944 0.4754 0.7500
```

Results
Energy ... -0.098 hartree per atom
Excess energy over the best structure of this formula in the dataset ... 0.0 meV per atom
DOS(E_F) ... 5.01 states/eV per cell
Calculated formation energy ... 0.0312 eV per atom

Entry 7:
Compound: Li2TcIrO6
Source: Alexandria
Functional: PBE-GGA
Structure: relaxed

Structure (CIF):
```
data_Li2TcIrO6
_space_group_name_H-M_alt 'P 4 m m'
_space_group_IT_number 99
_space_group_name_Hall 'P 4 -2'
_cell_length_a 5.548
_cell_length_b 5.548
_cell_length_c 3.856
_cell_angle_alpha 90.00
_cell_angle_beta 90.00
_cell_angle_gamma 90.00
loop_
_atom_site_label
_atom_site_type_symbol
_atom_site_fract_x
_atom_site_fract_y
_atom_site_fract_z
Li1 Li 0.000 0.500 0.000
Tc1 Tc 0.000 0.000 0.792
Ir1 Ir 0.500 0.500 0.817
O1 O 0.000 0.000 0.324
O2 O 0.246 0.246 0.846
O3 O 0.500 0.500 0.324
```

Results
Energy ... -0.239 hartree per atom
Energy relative to the elements, uncorrected ... -1.2129 eV per atom
DOS(E_F) ... 5.82 states/eV per cell

Entry 8:
Compound: BeAgN3
Source: Alexandria
Functional: PBE-GGA
Structure: relaxed

Structure (CIF):
```
data_BeAgN3
_space_group_name_H-M_alt 'P m -3 m'
_space_group_IT_number 221
_space_group_name_Hall '-P 4 2 3'
_cell_length_a 4.023
_cell_length_b 4.023
_cell_length_c 4.023
_cell_angle_alpha 90.00
_cell_angle_beta 90.00
_cell_angle_gamma 90.00
loop_
_atom_site_label
_atom_site_type_symbol
_atom_site_fract_x
_atom_site_fract_y
_atom_site_fract_z
Be1 Be 0.000 0.000 0.000
Ag1 Ag 0.500 0.500 0.500
N1 N 0.000 0.500 0.500
```

Results
Energy ... -0.131 hartree per atom
Energy relative to the elements, uncorrected ... 2.7572 eV per atom
DOS(E_F) ... 1.94 states/eV per cell

Entry 9:
Compound: CsCaInF6
Source: Alexandria
Functional: PBE-GGA
Structure: relaxed

Structure (CIF):
```
data_CsCaInF6
_space_group_name_H-M_alt 'I m m a'
_space_group_IT_number 74
_space_group_name_Hall '-I 2b 2'
_cell_length_a 8.035
_cell_length_b 8.136
_cell_length_c 11.427
_cell_angle_alpha 90.00
_cell_angle_beta 90.00
_cell_angle_gamma 90.00
loop_
_atom_site_label
_atom_site_type_symbol
_atom_site_fract_x
_atom_site_fract_y
_atom_site_fract_z
Cs1 Cs 0.000 0.250 0.104
Ca1 Ca 0.250 0.250 0.750
In1 In 0.000 0.000 0.500
F1 F 0.000 0.250 0.443
F2 F 0.000 0.250 0.836
F3 F 0.187 0.043 0.623
```

Results
Energy ... -0.182 hartree per atom
Energy relative to the elements, uncorrected ... -3.0847 eV per atom
DOS(E_F) ... 0.00 states/eV per cell

Entry 10:
Compound: CaHgPb4
Source: Alexandria
Functional: PBE-GGA
Structure: relaxed

Structure (CIF):
```
data_CaHgPb4
_space_group_name_H-M_alt 'C m c 21'
_space_group_IT_number 36
_space_group_name_Hall 'C 2c -2'
_cell_length_a 4.866
_cell_length_b 15.463
_cell_length_c 9.565
_cell_angle_alpha 90.00
_cell_angle_beta 90.00
_cell_angle_gamma 90.00
loop_
_atom_site_label
_atom_site_type_symbol
_atom_site_fract_x
_atom_site_fract_y
_atom_site_fract_z
Ca1 Ca 0.000 0.168 0.000
Hg1 Hg 0.000 0.329 0.271
Pb1 Pb 0.000 0.003 0.260
Pb2 Pb 0.000 0.164 0.528
Pb3 Pb 0.000 0.335 0.761
Pb4 Pb 0.000 0.499 0.010
```

Results
Energy ... -0.112 hartree per atom
Excess energy over the best structure of this formula in the dataset ... 0.0 meV per atom
DOS(E_F) ... 10.38 states/eV per cell
Calculated formation energy ... -0.1801 eV per atom

Entry 11:
Compound: Li2Mg7Ag
Source: Alexandria
Functional: PBE-GGA
Structure: relaxed

Structure (CIF):
```
data_Li2Mg7Ag
_space_group_name_H-M_alt 'R -3 m'
_space_group_IT_number 166
_space_group_name_Hall '-R 3 2"'
_cell_length_a 4.5939
_cell_length_b 4.5939
_cell_length_c 40.7770
_cell_angle_alpha 90.00
_cell_angle_beta 90.00
_cell_angle_gamma 120.00
loop_
_atom_site_label
_atom_site_type_symbol
_atom_site_fract_x
_atom_site_fract_y
_atom_site_fract_z
Li1 Li 0.0000 0.0000 0.0703
Mg1 Mg 0.0000 0.0000 0.0000
Mg2 Mg 0.0000 0.0000 0.1438
Mg3 Mg 0.0000 0.0000 0.2909
Mg4 Mg 0.0000 0.0000 0.4311
Ag1 Ag 0.0000 0.0000 0.5000
```

Results
Energy ... -0.060 hartree per atom
DOS(E_F) ... 10.84 states/eV per cell
Calculated formation energy ... 0.1575 eV per atom

Entry 12:
Compound: LiRu2Cl2
Source: Alexandria
Functional: PBE-GGA
Structure: relaxed

Structure (CIF):
```
data_LiRu2Cl2
_space_group_name_H-M_alt 'I 4/m m m'
_space_group_IT_number 139
_space_group_name_Hall '-I 4 2'
_cell_length_a 4.293
_cell_length_b 4.293
_cell_length_c 10.191
_cell_angle_alpha 90.00
_cell_angle_beta 90.00
_cell_angle_gamma 90.00
loop_
_atom_site_label
_atom_site_type_symbol
_atom_site_fract_x
_atom_site_fract_y
_atom_site_fract_z
Li1 Li 0.000 0.000 0.000
Ru1 Ru 0.000 0.000 0.391
Cl1 Cl 0.000 0.500 0.250
```

Results
Energy ... -0.159 hartree per atom
Energy relative to the elements, uncorrected ... 0.4954 eV per atom
Excess energy over the best structure of this formula in the dataset ... 52.6 meV per atom
DOS(E_F) ... 9.85 states/eV per cell

Entry 13:
Compound: BaLa2W
Source: Alexandria
Functional: PBE-GGA
Structure: relaxed

Structure (CIF):
```
data_BaLa2W
_space_group_name_H-M_alt 'I m m 2'
_space_group_IT_number 44
_space_group_name_Hall 'I 2 -2'
_cell_length_a 3.611
_cell_length_b 4.952
_cell_length_c 16.460
_cell_angle_alpha 90.00
_cell_angle_beta 90.00
_cell_angle_gamma 90.00
loop_
_atom_site_label
_atom_site_type_symbol
_atom_site_fract_x
_atom_site_fract_y
_atom_site_fract_z
Ba1 Ba 0.000 0.000 0.000
La1 La 0.000 0.000 0.322
La2 La 0.000 0.500 0.174
W1 W 0.000 0.500 0.685
```

Results
Energy ... -0.203 hartree per atom
Excess energy over the best structure of this formula in the dataset ... 172.3 meV per atom
DOS(E_F) ... 12.63 states/eV per cell
Calculated formation energy ... 0.6570 eV per atom

Entry 14:
Compound: PrDy2Y4Ho2
Source: Alexandria
Functional: PBE-GGA
Structure: relaxed

Structure (CIF):
```
data_PrDy2Y4Ho2
_space_group_name_H-M_alt 'C 1 2/m 1'
_space_group_IT_number 12
_space_group_name_Hall '-C 2y'
_cell_length_a 18.700
_cell_length_b 3.603
_cell_length_c 9.568
_cell_angle_alpha 90.00
_cell_angle_beta 115.73
_cell_angle_gamma 90.00
loop_
_atom_site_label
_atom_site_type_symbol
_atom_site_fract_x
_atom_site_fract_y
_atom_site_fract_z
Pr1 Pr 0.000 0.000 0.000
Dy1 Dy 0.149 0.000 0.667
Y1 Y 0.019 0.500 0.337
Y2 Y 0.186 0.000 0.335
Ho1 Ho 0.168 0.500 0.000
```

Results
Energy ... -0.200 hartree per atom
DOS(E_F) ... 25.21 states/eV per cell
Calculated formation energy ... -0.0002 eV per atom

Entry 15:
Compound: Pm8AlTl2
Source: Alexandria
Functional: PBE-GGA
Structure: relaxed

Structure (CIF):
```
data_Pm8AlTl2
_space_group_name_H-M_alt 'C 1 2/m 1'
_space_group_IT_number 12
_space_group_name_Hall '-C 2y'
_cell_length_a 19.303
_cell_length_b 5.341
_cell_length_c 6.969
_cell_angle_alpha 90.00
_cell_angle_beta 106.99
_cell_angle_gamma 90.00
loop_
_atom_site_label
_atom_site_type_symbol
_atom_site_fract_x
_atom_site_fract_y
_atom_site_fract_z
Pm1 Pm 0.011 0.000 0.271
Pm2 Pm 0.091 0.500 0.967
Pm3 Pm 0.157 0.500 0.485
Pm4 Pm 0.204 0.000 0.814
Al1 Al 0.000 0.500 0.500
Tl1 Tl 0.176 0.000 0.243
```

Results
Energy ... -0.161 hartree per atom
Excess energy over the best structure of this formula in the dataset ... 12.2 meV per atom
DOS(E_F) ... 24.98 states/eV per cell
Calculated formation energy ... -0.1681 eV per atom

Entry 16:
Compound: Mg9Cd2Sn
Source: Alexandria
Functional: PBE-GGA
Structure: relaxed

Structure (CIF):
```
data_Mg9Cd2Sn
_space_group_name_H-M_alt 'P 4/m m m'
_space_group_IT_number 123
_space_group_name_Hall '-P 4 2'
_cell_length_a 4.481
_cell_length_b 4.481
_cell_length_c 13.307
_cell_angle_alpha 90.00
_cell_angle_beta 90.00
_cell_angle_gamma 90.00
loop_
_atom_site_label
_atom_site_type_symbol
_atom_site_fract_x
_atom_site_fract_y
_atom_site_fract_z
Mg1 Mg 0.000 0.000 0.000
Mg2 Mg 0.000 0.000 0.335
Mg3 Mg 0.000 0.500 0.170
Mg4 Mg 0.000 0.500 0.500
Cd1 Cd 0.500 0.500 0.334
Sn1 Sn 0.500 0.500 0.000
```

Results
Energy ... -0.065 hartree per atom
DOS(E_F) ... 4.64 states/eV per cell
Calculated formation energy ... -0.0895 eV per atom

Entry 17:
Compound: Li2La2YSn2
Source: Alexandria
Functional: PBE-GGA
Structure: relaxed

Structure (CIF):
```
data_Li2La2YSn2
_space_group_name_H-M_alt 'R -3 m'
_space_group_IT_number 166
_space_group_name_Hall '-R 3 2"'
_cell_length_a 4.7973
_cell_length_b 4.7973
_cell_length_c 27.6785
_cell_angle_alpha 90.00
_cell_angle_beta 90.00
_cell_angle_gamma 120.00
loop_
_atom_site_label
_atom_site_type_symbol
_atom_site_fract_x
_atom_site_fract_y
_atom_site_fract_z
Li1 Li 0.0000 0.0000 0.1047
La1 La 0.0000 0.0000 0.3682
Y1 Y 0.0000 0.0000 0.5000
Sn1 Sn 0.0000 0.0000 0.2316
```

Results
Energy ... -0.166 hartree per atom
DOS(E_F) ... 13.42 states/eV per cell
Calculated formation energy ... -0.4964 eV per atom